Record 1
Here is crystalline SrLiSc3 at its relaxed geometry from the Alexandria database. Energies are from PBE.

## Properties
Symmetry: Pm-3m (221)
Crystal system: cubic
E_tot, eV/atom: -3.262
ΔE to the lowest computed polymorph, meV per atom: 771

Lattice parameters (Å, degrees): 5.406 5.406 5.406 90.00 90.00 90.00
Sites, in units of the cell vectors:
Sr  0.000  0.000  0.000
Li  0.500  0.500  0.500
Sc  0.000  0.000  0.500
Sc  0.000  0.500  0.000
Sc  0.500  0.000  0.000

Record 2
Here is crystalline SrLiSc2 at its relaxed geometry from the Alexandria database. Energies are from PBE.

## Properties
Symmetry: I-4m2 (119)
Crystal system: tetragonal
E_tot, eV/atom: -3.703
ΔE to the lowest computed polymorph, meV per atom: 173

Lattice parameters (Å, degrees): 5.475 5.475 5.475 120.08 120.08 89.86
Sites, in units of the cell vectors:
Sr  0.000  0.000  0.000
Li  0.250  0.750  0.500
Sc  0.500  0.500  0.000
Sc  0.750  0.250  0.500

Record-wise V values, in Å³/f.u.: 158, 116